The following is a DFT calculation (meta-GGA SCAN) of SrY2Pb at its PBEsol-relaxed geometry.

## Properties
Its space-group type is F-43m, No. 216. The total moment is 1.6 μB per formula unit. The calculation puts the energy of formation from the pure elements at -0.106 eV per atom.

a b c (Å): 5.5867 5.5867 5.5867
angles (deg): 60.00 60.00 60.00
Last column: nearest neighbours and their distance in Å.
Sites, in units of the cell vectors:
Sr (0.0000, 0.0000, 0.0000)  4 Pb 3.42, 4 Y 3.42
Y (0.2500, 0.2500, 0.2500)  4 Sr 3.42, 4 Y 3.42
Y (0.5000, 0.5000, 0.5000)  4 Pb 3.42, 4 Y 3.42
Pb (0.7500, 0.7500, 0.7500)  4 Sr 3.42, 4 Y 3.42